# 1
The following is a GGA-PBE calculation of Tl4CrSi after structural relaxation, from Alexandria.

Output
Formation energy without anion corrections ... 4.77 eV/f.u.
SG ... F-43m (216)
Final energy ... -3.290 eV/atom

```
6
Lattice="5.312 -1.507 -2.910 2.840 -5.406 1.290 0.048 -4.587 -4.231" Properties=species:S:1:pos:R:3 pbc="T T T"
Tl 5.734 -5.064 -3.650
Tl 3.097 -6.608 -4.313
Tl 4.496 -7.018 -1.546
Tl 3.073 -4.310 -2.193
Cr 6.150 -8.625 -4.388
Si 0.000 0.000 0.000
```

---

# 2
The following is a GGA-PBE calculation of RbNaGe3 after structural relaxation, from Alexandria.

Output
ΔH_f (0 K) ... 6.7 eV/f.u.
SG ... Pm-3m (221)
Final energy ... -1.879 eV/atom

```
5
Lattice="5.834 0.000 0.000 0.000 5.834 0.000 0.000 0.000 5.834" Properties=species:S:1:pos:R:3 pbc="T T T"
Na 2.917 2.917 2.917
Ge 0.000 2.917 0.000
Ge 0.000 0.000 2.917
Ge 2.917 0.000 0.000
Rb 0.000 0.000 0.000
```

---

# 3
The following is a GGA-PBE calculation of AcMgCdPd after structural relaxation, from Alexandria.

Output
ΔH_f (0 K) ... -1.5 eV/f.u.
SG ... F-43m (216)
Final energy ... -3.335 eV/atom

```
4
Lattice="-2.266 -4.009 -2.491 -0.749 -4.543 2.492 -4.842 -1.498 1.314" Properties=species:S:1:pos:R:3 pbc="T T T"
Ac -3.929 -5.025 0.657
Mg 0.000 0.000 0.000
Pd -1.964 -2.513 0.329
Cd -5.893 -7.538 0.986
```

---

# 4
The following is a GGA-PBE calculation of KCeI6 after structural relaxation, from Alexandria.

Output
Formation energy without anion corrections ... -8.09 eV/f.u.
SG ... C2/c (15)
Final energy ... -3.053 eV/atom

```
16
Lattice="-8.218 0.872 -1.939 -2.988 -4.710 6.399 -1.770 8.928 7.086" Properties=species:S:1:pos:R:3 pbc="T T T"
K -8.533 2.968 0.034
K -4.442 2.122 11.511
Ce -2.379 2.109 6.742
Ce -4.109 0.436 -0.970
I -5.091 0.629 6.464
I -7.885 4.461 5.082
I -5.059 -2.075 4.634
I -7.917 7.165 6.912
I -8.878 1.095 3.256
I -4.097 3.995 8.289
I -5.287 1.745 1.439
I -7.689 3.345 10.106
I -3.745 8.089 7.853
I -9.230 -2.999 3.692
I -10.054 1.400 7.332
I -2.922 3.690 4.213
```

---

# 5
The following is a GGA-PBE calculation of K2HfPt2 after structural relaxation, from Alexandria.

Output
ΔH_f (0 K) ... 0.9 eV/f.u.
SG ... I4/mmm (139)
Final energy ... -4.665 eV/atom

```
5
Lattice="-0.478 3.241 1.985 -3.657 0.152 -1.129 -4.161 -2.426 6.655" Properties=species:S:1:pos:R:3 pbc="T T T"
K -3.353 1.255 4.534
K -4.943 -0.289 2.977
Hf 0.000 0.000 0.000
Pt -2.419 1.005 1.472
Pt -5.877 -0.038 6.039
```

---

# 6
The following is a GGA-PBE calculation of CaPr2S4 after structural relaxation, from Alexandria.

Output
Formation energy without anion corrections ... -14.52 eV/f.u.
SG ... I-42d (122)
Final energy ... -6.085 eV/atom

```
14
Lattice="-7.086 -0.121 2.376 1.222 -5.972 -4.325 4.628 -0.150 5.868" Properties=species:S:1:pos:R:3 pbc="T T T"
Ca 0.000 0.000 0.000
Ca -2.695 -1.659 3.635
Pr 2.332 -4.680 2.788
Pr 1.283 -0.869 3.688
Pr -5.034 -3.086 0.644
Pr -1.054 -3.851 0.718
S -2.653 -1.447 0.771
S -0.922 -0.308 5.817
S -3.216 -5.359 -0.472
S 1.381 -2.312 0.999
S 0.316 -5.280 -1.688
S -0.321 -3.276 3.626
S 3.718 -2.404 3.913
S -3.247 -4.586 2.711
```

---

# 7
The following is a GGA-PBE calculation of SrTcIr after structural relaxation, from Alexandria.

Output
ΔH_f (0 K) ... 0.0 eV/f.u.
SG ... P4/nmm (129)
Final energy ... -6.954 eV/atom

```
6
Lattice="-3.900 -1.204 2.139 -0.916 -3.011 -3.366 3.331 -4.788 3.378" Properties=species:S:1:pos:R:3 pbc="T T T"
Sr 2.381 -5.587 1.196
Sr -1.458 -1.309 1.568
Ir 0.721 -3.201 -0.487
Ir 0.202 -3.696 3.251
Tc 1.665 -2.394 1.689
Tc -0.742 -4.502 1.075
```

---

# 8
The following is a GGA-PBE calculation of LiCdAgCl4 after structural relaxation, from Alexandria.

Output
Formation energy without anion corrections ... -7.79 eV/f.u.
SG ... Imma (74)
Final energy ... -2.979 eV/atom

```
14
Lattice="-6.676 4.370 0.483 2.647 -2.509 -6.867 -2.934 -5.035 5.005" Properties=species:S:1:pos:R:3 pbc="T T T"
Li -4.805 -0.332 2.744
Li -3.338 2.185 0.242
Cd -3.482 -1.587 -0.689
Cd -0.143 -3.772 -0.931
Ag -4.339 1.161 -4.323
Ag -2.624 -4.334 2.944
Cl -5.818 -1.648 0.656
Cl -2.666 -0.085 1.300
Cl -5.570 1.816 1.510
Cl -4.436 0.723 -1.702
Cl -2.527 -3.896 0.323
Cl -4.297 -3.088 -2.678
Cl -1.393 -4.989 -2.889
Cl -1.145 -1.525 -2.035
```

---

no.,total magnetization (μB per formula unit)
1,4.90
2,0.00
3,0.00
4,0.90
5,0.00
6,0.00
7,0.00
8,0.00